Entry 1:
{"formula": "ScZnInFe", "functional": "PBE-GGA", "state": "relaxed", "lattice": [[6.511, 0.000, 0.000], [0.000, 6.511, 0.000], [0.000, 0.000, 6.511]], "species": ["Sc", "Sc", "Sc", "Sc", "Zn", "Zn", "Zn", "Zn", "In", "In", "In", "In", "Fe", "Fe", "Fe", "Fe"], "frac_coords": [[0.000, 0.000, 0.000], [0.000, 0.500, 0.500], [0.500, 0.000, 0.500], [0.500, 0.500, 0.000], [0.250, 0.250, 0.250], [0.250, 0.750, 0.750], [0.750, 0.250, 0.750], [0.750, 0.750, 0.250], [0.250, 0.250, 0.750], [0.250, 0.750, 0.250], [0.750, 0.250, 0.250], [0.750, 0.750, 0.750], [0.000, 0.000, 0.500], [0.000, 0.500, 0.000], [0.500, 0.000, 0.000], [0.500, 0.500, 0.500]], "space_group": "F-43m (216)", "magnetic_moment_mub_per_atom": 0.534, "energy_ev_per_atom": -4.72}

***

Entry 2:
{"formula": "RbAcAu", "functional": "PBE-GGA", "state": "relaxed", "lattice": [[7.680, 0.000, 0.000], [0.000, 7.680, 0.000], [0.000, 0.000, 7.680]], "species": ["Rb", "Rb", "Rb", "Rb", "Ac", "Ac", "Ac", "Ac", "Au", "Au", "Au", "Au"], "frac_coords": [[0.000, 0.000, 0.000], [0.000, 0.500, 0.500], [0.500, 0.000, 0.500], [0.500, 0.500, 0.000], [0.250, 0.250, 0.750], [0.250, 0.750, 0.250], [0.750, 0.250, 0.250], [0.750, 0.750, 0.750], [0.000, 0.000, 0.500], [0.000, 0.500, 0.000], [0.500, 0.000, 0.000], [0.500, 0.500, 0.500]], "space_group": "F-43m (216)", "magnetic_moment_mub_per_atom": 0.014, "energy_ev_per_atom": -2.45}